DFT (GGA-PBE) results for a relaxed structure of TaMn2Zn.

a b c (Å): 2.840 2.840 7.268
angles (deg): 90.00 90.00 90.00
Fractional coordinates of all 4 atoms:
Ta (0.000, 0.000, 0.000)
Mn (0.500, 0.500, 0.266)
Mn (0.500, 0.500, 0.734)
Zn (0.000, 0.000, 0.500)

## Properties
DFT formation energy	11.2	kJ per mole of atoms
crystal system	tetragonal
magnetization	5.62	μB per cell